1.
Computed, not measured: Ca2CrRe after structural relaxation at the PBE-GGA level of DFT.

Calculated values
Polymorph energy (0 for the lowest one): 1.0845 eV per atom
Symmetry: Fm-3m (225)
Final energy: -0.371 Ry per atom
Formation enthalpy at 0 K: 1474 meV/atom

abc: 4.9114 4.9114 4.9114
angles: 60.00 60.00 60.00
Fractional positions:
Re1 0.5000 0.5000 0.5000
Ca1 0.2500 0.2500 0.2500
Ca2 0.7500 0.7500 0.7500
Cr1 0.0000 0.0000 0.0000



2.
Computed, not measured: BeCoRu2 after structural relaxation at the PBE-GGA level of DFT.

Calculated values
Symmetry: Pmm2 (25)
Final energy: -0.537 Ry per atom
Formation enthalpy at 0 K: 42 meV/atom

abc: 2.6633 3.6020 4.9779
angles: 90.00 90.00 90.00
Fractional positions:
Ru1 0.0000 0.0000 0.9959
Ru2 0.5000 0.5000 0.2600
Co1 0.5000 0.5000 0.7306
Be1 0.0000 0.0000 0.5136



3.
Computed, not measured: TeWI3 after structural relaxation at the PBE-GGA level of DFT.

Calculated values
Symmetry: Pm-3m (221)
Final energy: -0.251 Ry per atom
Formation energy (no corrections): 736 meV/atom

abc: 5.4172 5.4172 5.4172
angles: 90.00 90.00 90.00
Fractional positions:
I1 0.0000 0.5000 0.0000
I2 0.0000 0.0000 0.5000
I3 0.5000 0.0000 0.0000
Te1 0.5000 0.5000 0.5000
W1 0.0000 0.0000 0.0000



4.
Computed, not measured: KNa2VCl8 after structural relaxation at the PBE-GGA level of DFT.

Calculated values
Symmetry: P-1 (2)
Final energy: -0.267 Ry per atom
Formation energy (no corrections): -1334 meV/atom

abc: 6.2460 5.9291 8.9340
angles: 89.86 89.97 93.65
Fractional positions:
K1 0.0000 0.0000 0.5000
Na1 0.4999 0.4993 0.7643
Na2 0.5001 0.5007 0.2357
V1 0.0000 0.0000 0.0000
Cl1 0.1327 0.7742 0.1842
Cl2 0.6812 0.7750 0.9993
Cl3 0.8655 0.2241 0.1835
Cl4 0.8673 0.2258 0.8158
Cl5 0.3188 0.2250 0.0007
Cl6 0.1345 0.7759 0.8165
Cl7 0.5174 0.7529 0.5000
Cl8 0.4826 0.2471 0.5000



> Look up the final energy of the third one.

-0.251 Ry per atom



> final energy of number 1 (Ca2CrRe)?

-0.371 Ry per atom



> The highest final energy belongs to which entry?

TeWI3